Record 1
DFT (GGA-PBE) results for a geometry-optimized BiPb8 structure.

Cell: 10.5604 10.5604 5.1021 Å, 90.00 90.00 90.00°
Space group I4/mmm (No. 139)
Inequivalent atoms, fractional coordinates:
Bi 0.0000 0.0000 0.0000 (multiplicity 2)
Pb 0.0000 0.3323 0.0000 (multiplicity 8)
Pb 0.1665 0.1665 0.5000 (multiplicity 8)

## Properties
- E_form: 0.0109 eV per atom
- Total magnetic moment: 0.00 μB per cell
- Volume: 31.611 A^3/atom
- Fermi-level density of states: 9.78 states/eV per cell



Record 2
DFT (GGA-PBE) results for a geometry-optimized Bi3Pb2 structure.

Cell: 8.4402 8.4402 17.4653 Å, 90.00 90.00 120.00°
Space group R-3c (No. 167, hexagonal axes)
Inequivalent atoms, fractional coordinates:
Bi 0.0000 0.2289 0.2500 (multiplicity 18)
Pb 0.0000 0.0000 0.0980 (multiplicity 12)

## Properties
- ΔE to the lowest computed polymorph: 79 meV per atom
- E_form: 0.1524 eV per atom
- Total magnetic moment: 0.00 μB per cell
- Volume: 35.916 A^3/atom
- Fermi-level density of states: 17.78 states/eV per cell



Record 3
DFT (GGA-PBE) results for a geometry-optimized BiPb structure.

Cell: 3.5071 3.5071 5.9340 Å, 90.00 90.00 120.00°
Space group P-6m2 (No. 187)
Inequivalent atoms, fractional coordinates:
Bi 0.0000 0.0000 0.0000 (multiplicity 1)
Pb 0.6667 0.3333 0.5000 (multiplicity 1)

## Properties
- E_form: 0.0360 eV per atom
- Total magnetic moment: 0.00 μB per cell
- Volume: 31.603 A^3/atom
- Fermi-level density of states: 0.94 states/eV per cell



Record 4
DFT (GGA-PBE) results for a geometry-optimized Bi4Pb structure.

Cell: 5.1055 6.9821 10.8736 Å, 90.00 99.19 90.00°
Space group P2_1/c (No. 14)
Inequivalent atoms, fractional coordinates:
Bi 0.1285 0.1228 0.4043 (multiplicity 4)
Bi 0.3622 0.7126 0.7597 (multiplicity 4)
Pb 0.5000 0.0000 0.0000 (multiplicity 2)

## Properties
- ΔE to the lowest computed polymorph: 0 meV per atom
- E_form: 0.1163 eV per atom
- Total magnetic moment: 0.00 μB per cell
- Volume: 38.263 A^3/atom
- Fermi-level density of states: 5.51 states/eV per cell



Record 5
DFT (GGA-PBE) results for a geometry-optimized Bi2Pb13 structure.

Cell: 6.1647 7.8175 10.7909 Å, 72.80 73.48 83.69°
Space group P-1 (No. 2)
Inequivalent atoms, fractional coordinates:
Bi 0.1365 0.2981 0.4645 (multiplicity 2)
Pb 0.0000 0.5000 0.0000 (multiplicity 1)
Pb 0.0631 0.9014 0.7348 (multiplicity 2)
Pb 0.2014 0.7000 0.1986 (multiplicity 2)
Pb 0.2674 0.0998 0.9322 (multiplicity 2)
Pb 0.3300 0.5032 0.6655 (multiplicity 2)
Pb 0.3970 0.9019 0.3995 (multiplicity 2)
Pb 0.4676 0.3016 0.1305 (multiplicity 2)

## Properties
- E_form: 0.0105 eV per atom
- Total magnetic moment: 0.00 μB per cell
- Volume: 31.739 A^3/atom
- Fermi-level density of states: 6.57 states/eV per cell



Record 6
DFT (GGA-PBE) results for a geometry-optimized Bi3Pb2 structure.

Cell: 6.4685 9.1754 11.7297 Å, 90.00 90.00 90.00°
Space group Cmce (No. 64)
Inequivalent atoms, fractional coordinates:
Bi 0.0000 0.0000 0.0000 (multiplicity 4)
Bi 0.2500 0.0963 0.2500 (multiplicity 8)
Pb 0.0000 0.1518 0.5839 (multiplicity 8)

## Properties
- ΔE to the lowest computed polymorph: 42 meV per atom
- E_form: 0.1153 eV per atom
- Total magnetic moment: 0.00 μB per cell
- Volume: 34.808 A^3/atom
- Fermi-level density of states: 9.95 states/eV per cell



Q: Among the records above, which one has the lowest E_form?
A: Bi2Pb13



Q: Which formula does entry 1 have?
A: BiPb8



Q: The lowest volume belongs to which entry?
A: BiPb



Q: Number 2 is which compound?
A: Bi3Pb2